Mn5Ru (SCAN, PBEsol geometry); E above lowest polymorph = 0 meV per atom; energy of formation from the pure elements = 0.071 eV per atom; energy = -20.95 eV/atom; spin magnetization = 0.1175 μB/atom
1.0
-0.903 -0.339 -2.331
1.894 -4.135 1.233
-5.455 -0.256 2.150
Mn Ru
5 1
Direct
0.667 0.334 0.340
0.998 0.995 0.006
0.392 0.784 0.284
0.338 0.675 0.660
0.052 0.104 0.602
0.720 0.440 0.941

MnRhPb2 (SCAN, PBEsol geometry); energy of formation from the pure elements = 0.041 eV per atom; energy = -50.86 eV/atom; spin magnetization = 1.0917 μB/atom
1.0
3.213 0.000 0.000
0.000 4.566 0.000
-1.607 -2.283 5.548
Mn Pb Rh
1 2 1
Direct
0.200 0.700 0.399
0.999 0.999 0.997
0.782 0.282 0.564
0.520 0.520 0.040

Al11InO17 (SCAN, PBEsol geometry); energy = -10.95 eV/atom; spin magnetization = 0.0000 μB/atom
1.0
-4.348 -3.550 -0.030
2.353 1.515 4.866
-14.442 17.674 1.481
Al O In
22 34 2
Direct
0.000 0.000 0.500
0.167 0.334 0.605
0.167 0.334 0.895
0.833 0.167 0.105
0.667 0.333 0.825
0.167 0.833 0.895
0.333 0.667 0.175
0.833 0.167 0.395
0.666 0.833 0.605
0.333 0.667 0.475
0.667 0.333 0.975
0.334 0.167 0.105
0.833 0.666 0.395
0.667 0.333 0.675
0.000 0.000 0.000
0.333 0.667 0.325
0.333 0.667 0.025
0.667 0.333 0.525
0.833 0.666 0.105
0.167 0.833 0.605
0.334 0.167 0.395
0.666 0.833 0.895
0.157 0.313 0.049
0.157 0.843 0.049
0.000 0.000 0.860
0.157 0.313 0.451
0.687 0.843 0.049
0.667 0.333 0.055
0.667 0.333 0.750
0.996 0.498 0.356
0.498 0.996 0.856
0.843 0.687 0.549
0.000 0.000 0.140
0.157 0.843 0.451
0.313 0.157 0.549
0.502 0.498 0.356
0.333 0.667 0.945
0.843 0.157 0.549
0.667 0.333 0.445
0.000 0.000 0.640
0.333 0.667 0.555
0.498 0.996 0.644
0.004 0.502 0.644
0.000 0.000 0.360
0.498 0.502 0.644
0.313 0.157 0.951
0.502 0.498 0.144
0.502 0.004 0.356
0.687 0.843 0.451
0.004 0.502 0.856
0.996 0.498 0.144
0.498 0.502 0.856
0.502 0.004 0.144
0.333 0.667 0.250
0.843 0.687 0.951
0.843 0.157 0.951
0.333 0.667 0.750
0.667 0.333 0.250

VCoSb (SCAN, PBEsol geometry); energy = -24.24 eV/atom; spin magnetization = 0.3347 μB/atom
1.0
-0.513 -2.746 2.948
2.967 -2.639 0.856
2.078 0.337 3.473
Sb V Co
1 1 1
Direct
0.500 0.500 0.500
0.000 0.000 0.000
0.750 0.750 0.750